A relaxed SrBe2Zn crystal, computed with GGA-PBE.

Spin magnetization in μB per cell: 0.0
Space group: Pm, No. 6
Crystal system: monoclinic
DFT total energy in eV per atom: -2.3135
Calculated formation energy in meV/atom: 289

Cell: 3.9217 3.9474 5.5636 Å, 90.00 110.14 90.00°
Fractional positions:
Sr: 0.0000 0.0000 0.0000
Be: 0.2895 0.0000 0.5651
Be: 0.3372 0.5000 0.6709
Zn: 0.7339 0.5000 0.4604


A relaxed Rb4Na2Li crystal, computed with GGA-PBE.

Spin magnetization in μB per cell: 0.0
Space group: I4/mmm, No. 139
Crystal system: tetragonal
DFT total energy in eV per atom: -1.0349
Calculated formation energy in meV/atom: 168

Cell: 11.0871 11.0871 11.0871 Å, 141.30 141.30 55.89°
Fractional positions:
Rb: 0.0000 0.5000 0.5000
Rb: 0.1946 0.1946 0.0000
Rb: 0.5000 0.0000 0.5000
Rb: 0.8054 0.8054 0.0000
Na: 0.4009 0.4009 0.0000
Na: 0.5991 0.5991 0.0000
Li: 0.0000 0.0000 0.0000


A relaxed K2PrScO4 crystal, computed with GGA-PBE.

Spin magnetization in μB per cell: 0.0
Space group: P2/m, No. 10
Crystal system: monoclinic
DFT total energy in eV per atom: -6.7454
Formation energy (no corrections) in eV/atom: -2.603

Cell: 6.0064 3.4812 6.5597 Å, 90.00 107.76 90.00°
Fractional positions:
K: 0.0000 0.0000 0.0000
K: 0.5000 0.5000 0.0000
Pr: 0.0000 0.5000 0.5000
Sc: 0.5000 0.0000 0.5000
O: 0.2561 0.0000 0.6859
O: 0.2913 0.5000 0.3171
O: 0.7087 0.5000 0.6829
O: 0.7439 0.0000 0.3141


A relaxed Pr6Sm4Mg crystal, computed with GGA-PBE.

Spin magnetization in μB per cell: 0.0
Space group: I-42m, No. 121
Crystal system: tetragonal
DFT total energy in eV per atom: -4.2169
Calculated formation energy in meV/atom: 251

Cell: 9.8698 9.8698 9.8698 Å, 140.54 140.54 57.04°
Fractional positions:
Pr: 0.0000 0.5000 0.5000
Pr: 0.0437 0.7004 0.0000
Pr: 0.2996 0.2996 0.3432
Pr: 0.5000 0.0000 0.5000
Pr: 0.7004 0.0437 0.0000
Pr: 0.9563 0.9563 0.6568
Sm: 0.1413 0.1413 0.6343
Sm: 0.4930 0.8587 0.0000
Sm: 0.5070 0.5070 0.3657
Sm: 0.8587 0.4930 0.0000
Mg: 0.5000 0.5000 0.0000


A relaxed Gd2TcH crystal, computed with GGA-PBE.

Spin magnetization in μB per cell: 14.7
Space group: R-3m, No. 166
Crystal system: trigonal
DFT total energy in eV per atom: -10.0712

Cell: 8.1486 8.1486 8.1486 Å, 23.60 23.60 23.60°
Fractional positions:
Gd: 0.1048 0.1048 0.1048
Gd: 0.8952 0.8952 0.8952
Tc: 0.0000 0.0000 0.0000
H: 0.5000 0.5000 0.5000